# 1
## Nd3Ga2Rh6 (GGA-PBE)

Data for Nd3Ga2Rh6 after structural relaxation.

extended XYZ file:
```
22
Lattice="-0.449 7.082 -4.080 -6.596 -4.544 -1.687 0.297 1.498 8.042" Properties=species:S:1:pos:R:3 pbc="T T T"
Rh -4.594 -0.175 0.202
Rh -4.527 2.131 -1.277
Rh -4.271 0.209 2.896
Rh -2.155 4.211 2.072
Ga -3.374 2.018 1.137
Nd -5.012 1.806 -4.103
Nd -0.044 2.476 1.143
Rh -4.223 -2.464 1.662
Rh -2.221 1.905 3.551
Ga -3.298 -2.272 -0.844
Nd -0.108 6.104 2.818
Rh -4.480 -0.542 -2.511
Rh -0.192 5.160 0.093
Rh -2.478 3.827 -0.622
Rh -2.565 3.080 -3.257
Nd -1.818 -0.879 1.834
Ga 0.148 0.749 4.021
Nd -2.033 0.732 -1.664
Nd -4.482 -2.167 4.521
Rh -2.076 -0.582 4.693
Rh 0.040 3.420 3.869
Ga -0.224 3.541 -2.040
```


# 2
## KSc2Tl (GGA-PBE)

Data for KSc2Tl after structural relaxation.

As for the energy relative to the lowest polymorph listed for this composition: 0.378 eV per atom.

extended XYZ file:
```
4
Lattice="1.958 0.000 12.785 -0.979 1.696 12.785 -0.979 -1.696 12.785" Properties=species:S:1:pos:R:3 pbc="T T T"
Sc 0.000 0.000 35.346
K 0.000 0.000 19.178
Tl 0.000 0.000 0.000
Sc 0.000 0.000 3.010
```


Number 1: formation energy -661 meV/atom. Number 2: formation energy 481 meV/atom.